Here is crystalline ErZrS3 at its relaxed geometry from the Alexandria database. Energies are from PBE.

Values from the calculation:
The energy relative to the elements, uncorrected is -1.73 eV per atom. The density of states at the Fermi level comes out at 0.940 states/eV/f.u.

Cell: 6.5808 6.5808 6.5105 Å, 90.00 90.00 120.00°
Space group P-6c2 (No. 188)
Unique sites:
Er 0.0000 0.0000 0.0000 x2
Zr 0.3333 0.6667 0.0000 x2
S 0.0313 0.3435 0.2500 x6


Here is crystalline Er6ZrS8 at its relaxed geometry from the Alexandria database. Energies are from PBE.

Values from the calculation:
The energy relative to the elements, uncorrected is -1.95 eV per atom. The density of states at the Fermi level comes out at 6.996 states/eV/f.u.

Cell: 10.851 10.851 10.851 Å, 90.00 90.00 90.00°
Space group Fm-3m (No. 225)
Unique sites:
Er 0.000 0.250 0.250 x24
Zr 0.000 0.000 0.000 x4
S 0.000 0.000 0.249 x24
S 0.250 0.250 0.250 x8


Here is crystalline ErZrS at its relaxed geometry from the Alexandria database. Energies are from PBE.

Values from the calculation:
The energy relative to the elements, uncorrected is -1.09 eV per atom. The density of states at the Fermi level comes out at 3.234 states/eV/f.u.

Cell: 3.6574 3.6574 17.4926 Å, 90.00 90.00 120.00°
Space group R3m (No. 160, hexagonal axes)
Unique sites:
Er 0.0000 0.0000 0.0000 x3
Zr 0.0000 0.0000 0.4916 x3
S 0.0000 0.0000 0.2400 x3


Here is crystalline ErZrS2 at its relaxed geometry from the Alexandria database. Energies are from PBE.

Values from the calculation:
The energy relative to the elements, uncorrected is -1.64 eV per atom. The density of states at the Fermi level comes out at 2.877 states/eV/f.u.

Cell: 3.6626 3.6626 20.0216 Å, 90.00 90.00 120.00°
Space group R3m (No. 160, hexagonal axes)
Unique sites:
Er 0.0000 0.0000 0.0000 x3
Zr 0.0000 0.0000 0.8249 x3
S 0.0000 0.0000 0.2419 x3
S 0.0000 0.0000 0.4153 x3


Here is crystalline ErZr3S6 at its relaxed geometry from the Alexandria database. Energies are from PBE.

Values from the calculation:
The energy relative to the elements, uncorrected is -1.64 eV per atom. The density of states at the Fermi level comes out at 5.889 states/eV/f.u.

Cell: 10.603 3.672 10.872 Å, 90.00 108.32 90.00°
Space group P2_1/m (No. 11)
Unique sites:
Er 0.046 0.250 0.196 x2
Zr 0.143 0.250 0.570 x2
Zr 0.318 0.750 0.992 x2
Zr 0.431 0.250 0.353 x2
S 0.086 0.750 0.394 x2
S 0.122 0.250 0.968 x2
S 0.197 0.750 0.747 x2
S 0.263 0.750 0.221 x2
S 0.391 0.250 0.578 x2
S 0.482 0.250 0.119 x2


Here is crystalline ErZrS2 at its relaxed geometry from the Alexandria database. Energies are from PBE.

Values from the calculation:
The energy relative to the elements, uncorrected is -1.66 eV per atom. The density of states at the Fermi level comes out at 1.563 states/eV/f.u.

Cell: 3.7861 3.7861 18.5132 Å, 90.00 90.00 120.00°
Space group R-3m (No. 166, hexagonal axes)
Unique sites:
Er 0.0000 0.0000 0.0000 x3
Zr 0.0000 0.0000 0.5000 x3
S 0.0000 0.0000 0.2481 x6


Here is crystalline Er3ZrS6 at its relaxed geometry from the Alexandria database. Energies are from PBE.

Values from the calculation:
The energy relative to the elements, uncorrected is -1.87 eV per atom. The density of states at the Fermi level comes out at 4.653 states/eV/f.u.

Cell: 11.2933 11.2933 13.2166 Å, 90.00 90.00 120.00°
Space group R-3 (No. 148, hexagonal axes)
Unique sites:
Er 0.0529 0.2722 0.1965 x18
Zr 0.0000 0.0000 0.0000 x3
Zr 0.0000 0.0000 0.5000 x3
S 0.0218 0.2066 0.3953 x18
S 0.0322 0.1949 0.8810 x18


Here is crystalline ErZrS at its relaxed geometry from the Alexandria database. Energies are from PBE.

Values from the calculation:
The energy relative to the elements, uncorrected is -0.57 eV per atom. The density of states at the Fermi level comes out at 2.860 states/eV/f.u.

Cell: 4.4284 4.4284 3.9774 Å, 90.00 90.00 120.00°
Space group P-6m2 (No. 187)
Unique sites:
Er 0.0000 0.0000 0.0000 x1
Zr 0.6667 0.3333 0.5000 x1
S 0.3333 0.6667 0.5000 x1


Here is crystalline Er3Sb at its relaxed geometry from the Alexandria database. Energies are from PBE.

Values from the calculation:
The energy relative to the elements, uncorrected is -0.57 eV per atom. The density of states at the Fermi level comes out at 5.081 states/eV/f.u.

Cell: 12.264 12.264 6.129 Å, 90.00 90.00 90.00°
Space group P4_2/n (No. 86, origin choice 2)
Unique sites:
Er 0.036 0.924 0.233 x8
Er 0.105 0.281 0.036 x8
Er 0.141 0.833 0.714 x8
Sb 0.050 0.293 0.540 x8


Here is crystalline Er3Sb at its relaxed geometry from the Alexandria database. Energies are from PBE.

Values from the calculation:
The energy relative to the elements, uncorrected is -0.46 eV per atom. The density of states at the Fermi level comes out at 3.491 states/eV/f.u.

Cell: 4.585 4.585 10.387 Å, 90.00 90.00 90.00°
Space group I4/mmm (No. 139)
Unique sites:
Er 0.000 0.000 0.000 x2
Er 0.000 0.500 0.250 x4
Sb 0.000 0.000 0.500 x2


Here is crystalline ErSb3 at its relaxed geometry from the Alexandria database. Energies are from PBE.

Values from the calculation:
The energy relative to the elements, uncorrected is -0.39 eV per atom. The density of states at the Fermi level comes out at 1.508 states/eV/f.u.

Cell: 3.917 9.924 5.690 Å, 90.00 90.00 90.00°
Space group Imm2 (No. 44)
Unique sites:
Er 0.000 0.000 0.000 x2
Sb 0.000 0.279 0.286 x4
Sb 0.000 0.500 0.949 x2


Here is crystalline Er5Sb2 at its relaxed geometry from the Alexandria database. Energies are from PBE.

Values from the calculation:
The energy relative to the elements, uncorrected is -0.64 eV per atom. The density of states at the Fermi level comes out at 6.072 states/eV/f.u.

Cell: 4.493 38.942 4.472 Å, 90.00 90.00 90.00°
Space group Cmcm (No. 63)
Unique sites:
Er 0.000 0.035 0.250 x4
Er 0.000 0.176 0.750 x4
Er 0.000 0.250 0.250 x4
Er 0.000 0.389 0.750 x4
Er 0.000 0.464 0.250 x4
Sb 0.000 0.096 0.750 x4
Sb 0.000 0.310 0.750 x4